Here is Pm2SmY after structural relaxation from the Alexandria database. Energies are from PBE.

Total magnetic moment (Bohr magnetons per cell): 0.0
Formation energy from the elements (eV per atom): 0.02
Space-group type: Pnma
E_tot (eV per atom): -5.15

abc: 5.8189 6.3676 14.7268
angles: 90.00 90.00 90.00
Last column: nearest neighbours and their distance in Å.
Fractional positions:
Sm: 0.7500 0.4117 0.0618  7 Pm 3.59-3.72, 2 Sm 3.61, 3 Y 3.67-3.70
Sm: 0.2500 0.0883 0.5618  7 Pm 3.59-3.72, 2 Sm 3.61, 3 Y 3.67-3.70
Sm: 0.2500 0.5883 0.9382  7 Pm 3.59-3.72, 2 Sm 3.61, 3 Y 3.67-3.70
Sm: 0.7500 0.9117 0.4382  7 Pm 3.59-3.72, 2 Sm 3.61, 3 Y 3.67-3.70
Pm: 0.2500 0.5750 0.1876  4 Y 3.60, 3 Sm 3.60-3.67, 5 Pm 3.63-3.71
Pm: 0.7500 0.9250 0.6876  4 Y 3.60, 3 Sm 3.60-3.67, 5 Pm 3.63-3.71
Pm: 0.2500 0.0817 0.0634  4 Sm 3.59-3.72, 3 Y 3.61-3.70, 5 Pm 3.61-3.71
Pm: 0.2500 0.5817 0.4366  4 Sm 3.59-3.72, 3 Y 3.61-3.70, 5 Pm 3.61-3.71
Pm: 0.7500 0.4183 0.5634  4 Sm 3.59-3.72, 3 Y 3.61-3.70, 5 Pm 3.61-3.71
Pm: 0.7500 0.9183 0.9366  4 Sm 3.59-3.72, 3 Y 3.61-3.70, 5 Pm 3.61-3.71
Pm: 0.2500 0.0750 0.3124  4 Y 3.60, 3 Sm 3.60-3.67, 5 Pm 3.63-3.71
Pm: 0.7500 0.4250 0.8124  4 Y 3.60, 3 Sm 3.60-3.67, 5 Pm 3.63-3.71
Y: 0.2500 0.0910 0.8122  7 Pm 3.60-3.70, 3 Sm 3.67-3.70, 2 Y 3.67
Y: 0.7500 0.4090 0.3123  7 Pm 3.60-3.70, 3 Sm 3.67-3.70, 2 Y 3.67
Y: 0.2500 0.5910 0.6878  7 Pm 3.60-3.70, 3 Sm 3.67-3.70, 2 Y 3.67
Y: 0.7500 0.9090 0.1878  7 Pm 3.60-3.70, 3 Sm 3.67-3.70, 2 Y 3.67